one | La3Ge4Rh2: relaxed, PBE-GGA.

a = 4.269 Å, b = 6.163 Å, c = 8.567 Å
α = 101.64°, β = 90.00°, γ = 110.27°
Fractional positions:
Ge 0.735 0.470 0.080
La 0.000 0.000 0.000
La 0.330 0.660 0.346
La 0.670 0.340 0.654
Rh 0.601 0.202 0.270
Ge 0.265 0.530 0.920
Ge 0.047 0.094 0.380
Rh 0.399 0.798 0.730
Ge 0.953 0.906 0.620

Its density of states at the Fermi level is 5.93 states/eV/cell.


two | La3Ge4Rh2: relaxed, PBE-GGA.

a = 4.343 Å, b = 6.181 Å, c = 8.533 Å
α = 108.21°, β = 90.00°, γ = 110.57°
Fractional positions:
La 0.615 0.229 0.689
Rh 0.697 0.395 0.365
La 0.385 0.771 0.311
Ge 0.286 0.572 0.925
Ge 0.105 0.209 0.394
Rh 0.303 0.605 0.635
La 0.000 0.000 0.000
Ge 0.895 0.791 0.606
Ge 0.714 0.428 0.075

Its density of states at the Fermi level is 4.81 states/eV/cell.


two is preferred energetically. Next in line: 8 meV per atom higher.


one | La2Ge3Rh2: relaxed, PBE-GGA.

a = 4.332 Å, b = 7.159 Å, c = 9.616 Å
α = 90.00°, β = 103.02°, γ = 90.00°
Fractional positions:
Rh 0.695 0.952 0.389
Ge 0.221 0.750 0.441
Ge 0.563 0.432 0.126
La 0.056 0.750 0.113
Ge 0.437 0.568 0.874
Ge 0.563 0.068 0.126
Rh 0.305 0.048 0.611
Rh 0.695 0.548 0.389
Ge 0.779 0.250 0.559
La 0.839 0.750 0.677
La 0.161 0.250 0.323
La 0.944 0.250 0.887
Ge 0.437 0.932 0.874
Rh 0.305 0.452 0.611

Its density of states at the Fermi level is 9.16 states/eV/cell.


two | La2Ge3Rh2: relaxed, PBE-GGA.

a = 4.300 Å, b = 5.715 Å, c = 7.025 Å
α = 114.05°, β = 90.00°, γ = 112.10°
Fractional positions:
Ge 0.629 0.259 0.440
Rh 0.868 0.737 0.778
La 0.854 0.708 0.227
Ge 0.371 0.741 0.560
La 0.146 0.292 0.773
Ge 0.500 0.000 0.000
Rh 0.132 0.263 0.222

Its density of states at the Fermi level is 3.90 states/eV/cell.


one is preferred energetically. Next in line: 78 meV per atom higher.


one | La6Ge2Rh: relaxed, PBE-GGA.

a = 4.402 Å, b = 8.234 Å, c = 8.234 Å
α = 120.00°, β = 90.00°, γ = 90.00°
Fractional positions:
La 0.500 0.425 0.425
La 0.000 0.245 0.000
La 0.000 0.000 0.245
Ge 0.000 0.333 0.667
La 0.500 0.000 0.575
La 0.500 0.575 0.000
Rh 0.500 0.999 0.999
La 0.000 0.755 0.755
Ge 0.000 0.667 0.333

Its density of states at the Fermi level is 11.22 states/eV/cell.


two | La6Ge2Rh: relaxed, PBE-GGA.

a = 7.103 Å, b = 7.103 Å, c = 13.045 Å
α = 90.00°, β = 90.00°, γ = 90.00°
Fractional positions:
Rh 0.500 0.500 0.500
La 0.212 0.788 0.500
La 0.801 0.199 0.161
La 0.288 0.288 0.000
Ge 0.500 0.500 0.835
La 0.788 0.212 0.500
Ge 0.500 0.500 0.165
La 0.712 0.712 0.000
Rh 0.000 0.000 0.000
La 0.699 0.699 0.661
La 0.801 0.199 0.839
Ge 0.000 0.000 0.335
La 0.301 0.301 0.339
La 0.301 0.301 0.661
La 0.199 0.801 0.161
La 0.699 0.699 0.339
Ge 0.000 0.000 0.665
La 0.199 0.801 0.839

Its density of states at the Fermi level is 27.39 states/eV/cell.


one is preferred energetically. Next in line: 196 meV per atom higher.


one | La3Ge8Rh3: relaxed, PBE-GGA.

a = 4.267 Å, b = 8.470 Å, c = 8.470 Å
α = 77.43°, β = 75.41°, γ = 75.41°
Fractional positions:
Ge 0.619 0.676 0.085
Ge 0.842 0.791 0.525
Ge 0.842 0.525 0.791
Ge 0.158 0.475 0.209
La 0.184 0.816 0.816
La 0.816 0.184 0.184
Ge 0.619 0.085 0.676
Ge 0.158 0.209 0.475
Rh 0.000 0.790 0.210
Ge 0.381 0.915 0.324
Rh 0.500 0.000 0.000
La 0.500 0.500 0.500
Rh 0.000 0.210 0.790
Ge 0.381 0.324 0.915

Its density of states at the Fermi level is 6.03 states/eV/cell.


two | La3Ge8Rh3: relaxed, PBE-GGA.

a = 4.390 Å, b = 8.590 Å, c = 9.280 Å
α = 58.50°, β = 76.32°, γ = 75.20°
Fractional positions:
La 0.000 0.000 0.000
Rh 0.350 0.303 0.998
La 0.717 0.247 0.318
Ge 0.630 0.999 0.741
Ge 0.177 0.546 0.100
Ge 0.823 0.454 0.900
Rh 0.000 0.500 0.500
Rh 0.650 0.697 0.002
Ge 0.879 0.831 0.412
Ge 0.121 0.169 0.588
La 0.283 0.753 0.682
Ge 0.478 0.349 0.696
Ge 0.370 0.001 0.259
Ge 0.522 0.651 0.304

Its density of states at the Fermi level is 7.95 states/eV/cell.


two is preferred energetically. Next in line: 68 meV per atom higher.


one | LaSmGeRh: relaxed, PBE-GGA.

a = 5.141 Å, b = 5.141 Å, c = 5.141 Å
α = 60.00°, β = 60.00°, γ = 60.00°
Fractional positions:
Sm 0.000 0.000 0.000
La 0.500 0.500 0.500
Ge 0.250 0.250 0.250
Rh 0.750 0.750 0.750

Its density of states at the Fermi level is 3.24 states/eV/cell.


two | LaSmGeRh: relaxed, PBE-GGA.

a = 4.695 Å, b = 4.695 Å, c = 10.129 Å
α = 90.00°, β = 90.00°, γ = 90.00°
Fractional positions:
Sm 0.000 0.000 0.500
Rh 0.000 0.500 0.348
La 0.500 0.000 0.173
Ge 0.500 0.000 0.885
Rh 0.500 0.000 0.652
Ge 0.000 0.500 0.115
La 0.000 0.500 0.827
Sm 0.500 0.500 0.500

Its density of states at the Fermi level is 6.55 states/eV/cell.


one is preferred energetically. Next in line: 104 meV per atom higher.


one | LaTbGeRh: relaxed, PBE-GGA.

a = 5.100 Å, b = 5.100 Å, c = 5.100 Å
α = 60.00°, β = 60.00°, γ = 60.00°
Fractional positions:
Tb 0.000 0.000 0.000
La 0.500 0.500 0.500
Ge 0.250 0.250 0.250
Rh 0.750 0.750 0.750

Its density of states at the Fermi level is 2.97 states/eV/cell.


two | LaTbGeRh: relaxed, PBE-GGA.

a = 4.643 Å, b = 4.643 Å, c = 10.095 Å
α = 90.00°, β = 90.00°, γ = 90.00°
Fractional positions:
Tb 0.500 0.500 0.500
Ge 0.000 0.500 0.115
La 0.000 0.500 0.826
Tb 0.000 0.000 0.500
Ge 0.500 0.000 0.885
Rh 0.000 0.500 0.349
La 0.500 0.000 0.174
Rh 0.500 0.000 0.651

Its density of states at the Fermi level is 5.08 states/eV/cell.


one is preferred energetically. Next in line: 76 meV per atom higher.